# 1
TbAl2O4 after structural relaxation, computed with PBE-GGA.

Calculated values
As for the crystal system: orthorhombic. The calculation puts the polymorph energy (0 for the lowest one) at 0.0 kJ/mol of atoms. The magnetic moment comes out at 0.00 μB per cell. Its calculated volume is 12.27 Å³ per atom. Its symmetry is Fdd2.

Unit cell a=6.4265 b=5.7955 c=7.4131 alpha=56.65 beta=48.88 gamma=74.48
Fractional coordinates of all 14 atoms:
Tb  0.0000  0.0000  0.0000
Tb  0.2500  0.2500  0.2500
Al  0.0207  0.6259  0.6093
Al  0.5059  0.6407  0.6241
Al  0.6259  0.0207  0.7441
Al  0.6407  0.5059  0.2293
O  0.2589  0.3829  0.4888
O  0.2794  0.8146  0.5340
O  0.3806  0.7612  0.8671
O  0.3829  0.2589  0.8694
O  0.7160  0.8780  0.9706
O  0.7612  0.3806  0.9911
O  0.8146  0.2794  0.3720
O  0.8780  0.7160  0.4354

# 2
SiW4 after structural relaxation, computed with PBE-GGA.

Calculated values
As for the crystal system: cubic. The calculation puts the polymorph energy (0 for the lowest one) at 130.4 kJ/mol of atoms. The magnetic moment comes out at 0.00 μB per cell. Its calculated volume is 17.55 Å³ per atom. Its symmetry is Pm-3m.

Unit cell a=4.4436 b=4.4436 c=4.4436 alpha=90.00 beta=90.00 gamma=90.00
Fractional coordinates of all 5 atoms:
Si  0.0000  0.0000  0.0000
W  0.0000  0.0000  0.5000
W  0.0000  0.5000  0.0000
W  0.5000  0.0000  0.0000
W  0.5000  0.5000  0.5000

# 3
SmHo2Ga3 after structural relaxation, computed with PBE-GGA.

Calculated values
As for the crystal system: trigonal. The calculation puts the polymorph energy (0 for the lowest one) at 0.0 kJ/mol of atoms. The magnetic moment comes out at 0.00 μB per cell. Its calculated volume is 23.08 Å³ per atom. Its symmetry is P-3m1.

Unit cell a=5.0668 b=5.0668 c=12.4565 alpha=90.00 beta=90.00 gamma=120.00
Fractional coordinates of all 12 atoms:
Sm  0.3333  0.6667  0.1666
Sm  0.6667  0.3333  0.8334
Ho  0.0000  0.0000  0.0000
Ho  0.0000  0.0000  0.5000
Ho  0.3333  0.6667  0.6642
Ho  0.6667  0.3333  0.3358
Ga  0.0000  0.0000  0.2529
Ga  0.0000  0.0000  0.7471
Ga  0.3333  0.6667  0.4186
Ga  0.3333  0.6667  0.9153
Ga  0.6667  0.3333  0.0847
Ga  0.6667  0.3333  0.5814

# 4
InPb2Cl5 after structural relaxation, computed with PBE-GGA.

Calculated values
Its final energy is -3.484 eV per atom. As for the crystal system: monoclinic. The magnetic moment comes out at 0.00 μB per cell. Its calculated volume is 36.12 Å³ per atom. Its symmetry is C2/c.

Unit cell a=8.3518 b=8.3518 c=10.6090 alpha=108.44 beta=108.44 gamma=56.82
Fractional coordinates of all 16 atoms:
In  0.0000  0.0000  0.0000
In  0.0000  0.0000  0.5000
Pb  0.3711  0.3790  0.7920
Pb  0.3790  0.3711  0.2920
Pb  0.6210  0.6289  0.7080
Pb  0.6289  0.6210  0.2080
Cl  0.0219  0.3781  0.6658
Cl  0.2326  0.7674  0.7500
Cl  0.2744  0.5603  0.0630
Cl  0.3781  0.0219  0.1658
Cl  0.4397  0.7256  0.4370
Cl  0.5603  0.2744  0.5630
Cl  0.6219  0.9781  0.8342
Cl  0.7256  0.4397  0.9370
Cl  0.7674  0.2326  0.2500
Cl  0.9781  0.6219  0.3342

# 5
DyHo2TmSc2 after structural relaxation, computed with PBE-GGA.

Calculated values
Its final energy is -5.077 eV per atom. As for the crystal system: orthorhombic. The magnetic moment comes out at 0.01 μB per cell. Its calculated volume is 28.70 Å³ per atom. Its symmetry is Pnnm.

Unit cell a=6.8132 b=9.3398 c=5.4116 alpha=90.00 beta=90.00 gamma=90.00
Fractional coordinates of all 12 atoms:
Dy  0.0000  0.0000  0.0000
Dy  0.5000  0.5000  0.5000
Ho  0.2486  0.3334  0.0000
Ho  0.2514  0.8334  0.5000
Ho  0.7486  0.1666  0.5000
Ho  0.7514  0.6666  0.0000
Tm  0.0000  0.5000  0.5000
Tm  0.5000  0.0000  0.0000
Sc  0.2499  0.1669  0.5000
Sc  0.2501  0.6669  0.0000
Sc  0.7499  0.3331  0.0000
Sc  0.7501  0.8331  0.5000

# 6
TlSi2Mo after structural relaxation, computed with PBE-GGA.

Calculated values
As for the crystal system: tetragonal. The calculation puts the polymorph energy (0 for the lowest one) at 51.8 kJ/mol of atoms. The magnetic moment comes out at 1.14 μB per cell. Its calculated volume is 17.23 Å³ per atom. Its symmetry is I4/mmm.

Unit cell a=4.9805 b=4.9805 c=4.9805 alpha=130.96 beta=130.96 gamma=71.88
Fractional coordinates of all 4 atoms:
Tl  0.0000  0.0000  0.0000
Si  0.2500  0.7500  0.5000
Si  0.7500  0.2500  0.5000
Mo  0.5000  0.5000  0.0000

# 7
Hf5MnTc4 after structural relaxation, computed with PBE-GGA.

Calculated values
Its final energy is -10.447 eV per atom. As for the crystal system: tetragonal. The magnetic moment comes out at 1.40 μB per cell. Its calculated volume is 17.21 Å³ per atom. Its symmetry is P4/mmm.

Unit cell a=3.2584 b=3.2584 c=16.2059 alpha=90.00 beta=90.00 gamma=90.00
Fractional coordinates of all 10 atoms:
Hf  0.0000  0.0000  0.0000
Hf  0.0000  0.0000  0.2015
Hf  0.0000  0.0000  0.4010
Hf  0.0000  0.0000  0.5990
Hf  0.0000  0.0000  0.7985
Mn  0.5000  0.5000  0.5000
Tc  0.5000  0.5000  0.1009
Tc  0.5000  0.5000  0.3041
Tc  0.5000  0.5000  0.6959
Tc  0.5000  0.5000  0.8991

# 8
GdHfGe2 after structural relaxation, computed with PBE-GGA.

Calculated values
Its final energy is -8.293 eV per atom. As for the crystal system: trigonal. The magnetic moment comes out at 7.35 μB per cell. Its calculated volume is 23.10 Å³ per atom. Its symmetry is R-3m.

Unit cell a=10.6510 b=10.6510 c=10.6510 alpha=17.22 beta=17.22 gamma=17.22
Fractional coordinates of all 4 atoms:
Gd  0.0000  0.0000  0.0000
Hf  0.5000  0.5000  0.5000
Ge  0.0939  0.0939  0.0939
Ge  0.9061  0.9061  0.9061